Entry 1:
The following is a DFT calculation (SCAN) of IrWBr4 at its PBEsol-relaxed geometry. Values from VASP.

The structure in Quantum ESPRESSO input format:
```
&SYSTEM
  ibrav = 0, nat = 6, ntyp = 3
/
ATOMIC_SPECIES
Br 79.90 Br.upf
Ir 192.22 Ir.upf
W 183.84 W.upf
CELL_PARAMETERS angstrom
5.6837 0.0000 0.0000
2.8418 4.9222 0.0000
2.8418 1.6407 4.6407
ATOMIC_POSITIONS angstrom
Br 4.2637 2.4616 1.7406
Br 5.6837 3.2815 4.0594
Br 7.1036 2.4616 1.7406
Br 5.6837 4.9211 1.7406
Ir 8.5255 4.9222 3.4805
W 0.0000 0.0000 0.0000
```

Output
For the electronic total energy, the calculation gives -34.083 eV per atom.

Entry 2:
The following is a DFT calculation (SCAN) of YIr2Br at its PBEsol-relaxed geometry. Values from VASP.

The structure in Quantum ESPRESSO input format:
```
&SYSTEM
  ibrav = 0, nat = 4, ntyp = 3
/
ATOMIC_SPECIES
Y 88.91 Y.upf
Ir 192.22 Ir.upf
Br 79.90 Br.upf
CELL_PARAMETERS angstrom
4.6792 0.0000 0.0000
2.3396 4.0523 0.0000
2.3396 1.3508 3.8206
ATOMIC_POSITIONS angstrom
Y 2.3396 1.3508 0.9551
Ir 0.0000 0.0000 0.0000
Ir 7.0188 4.0523 2.8654
Br 4.6792 2.7015 1.9103
```

Output
Its energy above the most stable polymorph in this dataset is 102.6 kJ/mol of formula units. For the electronic total energy, the calculation gives -47.090 eV per atom.

Entry 3:
The following is a DFT calculation (SCAN) of YIrBr2 at its PBEsol-relaxed geometry. Values from VASP.

The structure in Quantum ESPRESSO input format:
```
&SYSTEM
  ibrav = 0, nat = 4, ntyp = 3
/
ATOMIC_SPECIES
Y 88.91 Y.upf
Ir 192.22 Ir.upf
Br 79.90 Br.upf
CELL_PARAMETERS angstrom
4.8919 0.0000 0.0000
2.4459 4.2365 0.0000
2.4459 1.4122 3.9942
ATOMIC_POSITIONS angstrom
Y 2.4459 1.4122 0.9985
Ir 4.8919 2.8243 1.9971
Br 0.0000 0.0000 0.0000
Br 7.3378 4.2365 2.9956
```

Output
Its energy above the most stable polymorph in this dataset is 41.0 kJ/mol of formula units. For the electronic total energy, the calculation gives -34.512 eV per atom.

Entry 4:
The following is a DFT calculation (SCAN) of YIrBr2 at its PBEsol-relaxed geometry. Values from VASP.

The structure in Quantum ESPRESSO input format:
```
&SYSTEM
  ibrav = 0, nat = 4, ntyp = 3
/
ATOMIC_SPECIES
Y 88.91 Y.upf
Ir 192.22 Ir.upf
Br 79.90 Br.upf
CELL_PARAMETERS angstrom
3.7770 0.0000 0.0000
1.8885 3.2710 0.0000
1.8885 1.0903 8.2682
ATOMIC_POSITIONS angstrom
Y 0.0000 0.0000 0.0000
Ir 3.7770 2.1807 4.1341
Br 5.6656 3.2710 2.8036
Br 1.8885 1.0903 5.4645
```

Output
Its energy above the most stable polymorph in this dataset is 177.0 kJ/mol of formula units. For the electronic total energy, the calculation gives -34.160 eV per atom.

Entry 5:
The following is a DFT calculation (SCAN) of YIrBr2 at its PBEsol-relaxed geometry. Values from VASP.

The structure in Quantum ESPRESSO input format:
```
&SYSTEM
  ibrav = 0, nat = 4, ntyp = 3
/
ATOMIC_SPECIES
Y 88.91 Y.upf
Ir 192.22 Ir.upf
Br 79.90 Br.upf
CELL_PARAMETERS angstrom
4.8163 0.0000 0.0000
2.4081 4.1710 0.0000
2.4081 1.3903 3.9325
ATOMIC_POSITIONS angstrom
Y 4.8163 2.7807 1.9662
Ir 0.0000 0.0000 0.0000
Br 2.4081 1.3903 0.9831
Br 7.2244 4.1710 2.9494
```

Output
Its energy above the most stable polymorph in this dataset is 42.3 kJ/mol of formula units. For the electronic total energy, the calculation gives -34.509 eV per atom.

Entry 6:
The following is a DFT calculation (SCAN) of YIrBr2 at its PBEsol-relaxed geometry. Values from VASP.

The structure in Quantum ESPRESSO input format:
```
&SYSTEM
  ibrav = 0, nat = 4, ntyp = 3
/
ATOMIC_SPECIES
Y 88.91 Y.upf
Ir 192.22 Ir.upf
Br 79.90 Br.upf
CELL_PARAMETERS angstrom
3.9051 0.0000 0.0000
0.0000 4.4476 0.0000
0.0000 0.0000 4.4476
ATOMIC_POSITIONS angstrom
Y 1.9526 0.0000 0.0000
Ir 1.9526 2.2238 2.2238
Br 0.0000 0.0000 2.2238
Br 0.0000 2.2238 0.0000
```

Output
Its energy above the most stable polymorph in this dataset is 0.0 kJ/mol of formula units. For the electronic total energy, the calculation gives -34.619 eV per atom.

Entry 7:
The following is a DFT calculation (SCAN) of YIr2Br at its PBEsol-relaxed geometry. Values from VASP.

The structure in Quantum ESPRESSO input format:
```
&SYSTEM
  ibrav = 0, nat = 4, ntyp = 3
/
ATOMIC_SPECIES
Y 88.91 Y.upf
Ir 192.22 Ir.upf
Br 79.90 Br.upf
CELL_PARAMETERS angstrom
-1.2792 2.3788 -1.4476
-3.5170 -2.7931 -1.4820
-2.4942 1.0530 3.9345
ATOMIC_POSITIONS angstrom
Y -1.8867 1.7159 1.2435
Ir 0.0000 0.0000 0.0000
Ir -2.3981 -0.2071 -1.4648
Br -3.0056 -0.8700 1.2263
```

Output
Its energy above the most stable polymorph in this dataset is 0.0 kJ/mol of formula units. For the electronic total energy, the calculation gives -47.356 eV per atom.

Entry 8:
The following is a DFT calculation (SCAN) of YIrBr2 at its PBEsol-relaxed geometry. Values from VASP.

The structure in Quantum ESPRESSO input format:
```
&SYSTEM
  ibrav = 0, nat = 4, ntyp = 3
/
ATOMIC_SPECIES
Y 88.91 Y.upf
Ir 192.22 Ir.upf
Br 79.90 Br.upf
CELL_PARAMETERS angstrom
3.4670 0.0000 0.0000
0.0000 3.4677 0.0000
0.0000 0.0000 6.5913
ATOMIC_POSITIONS angstrom
Y 1.7335 1.7338 3.2956
Ir 1.7335 1.7338 0.0000
Br 0.0000 0.0000 4.8942
Br 0.0000 0.0000 1.6970
```

Output
Its energy above the most stable polymorph in this dataset is 121.0 kJ/mol of formula units. For the electronic total energy, the calculation gives -34.305 eV per atom.

Entry 9:
The following is a DFT calculation (SCAN) of YIrBr2 at its PBEsol-relaxed geometry. Values from VASP.

The structure in Quantum ESPRESSO input format:
```
&SYSTEM
  ibrav = 0, nat = 4, ntyp = 3
/
ATOMIC_SPECIES
Y 88.91 Y.upf
Ir 192.22 Ir.upf
Br 79.90 Br.upf
CELL_PARAMETERS angstrom
-1.0105 -3.0874 -0.7682
1.5970 -1.7404 -2.3589
5.8804 -5.0612 5.3530
ATOMIC_POSITIONS angstrom
Y 0.0000 0.0000 0.0000
Ir 3.2334 -4.9445 1.1130
Br 1.4439 -2.3673 0.3621
Br 5.0229 -7.5217 1.8638
```

Output
Its energy above the most stable polymorph in this dataset is 127.1 kJ/mol of formula units. For the electronic total energy, the calculation gives -34.289 eV per atom.

Entry 10:
The following is a DFT calculation (SCAN) of ZnIrBr2 at its PBEsol-relaxed geometry. Values from VASP.

The structure in Quantum ESPRESSO input format:
```
&SYSTEM
  ibrav = 0, nat = 4, ntyp = 3
/
ATOMIC_SPECIES
Br 79.90 Br.upf
Ir 192.22 Ir.upf
Zn 65.41 Zn.upf
CELL_PARAMETERS angstrom
-2.6472 1.7799 1.4085
1.0451 -2.9229 1.3414
5.6289 4.3469 5.0861
ATOMIC_POSITIONS angstrom
Br 3.9409 3.0434 3.5609
Br 1.6880 1.3036 1.5252
Ir 1.4909 3.0634 3.2473
Zn -1.3236 0.8899 0.7042
```

Output
Its energy above the most stable polymorph in this dataset is 99.7 kJ/mol of formula units. For the electronic total energy, the calculation gives -30.316 eV per atom.

Entry 11:
The following is a DFT calculation (SCAN) of ZnIr2Br at its PBEsol-relaxed geometry. Values from VASP.

The structure in Quantum ESPRESSO input format:
```
&SYSTEM
  ibrav = 0, nat = 4, ntyp = 3
/
ATOMIC_SPECIES
Br 79.90 Br.upf
Ir 192.22 Ir.upf
Zn 65.41 Zn.upf
CELL_PARAMETERS angstrom
2.8662 0.0000 0.0000
0.0000 4.5124 0.0000
-1.4331 -2.2562 4.7897
ATOMIC_POSITIONS angstrom
Br 0.0000 2.2562 2.6049
Ir 0.0000 0.0000 0.0077
Ir 1.4331 0.0000 2.2894
Zn 0.0000 0.0000 4.6774
```

Output
Its energy above the most stable polymorph in this dataset is 103.8 kJ/mol of formula units. For the electronic total energy, the calculation gives -42.991 eV per atom.

Entry 12:
The following is a DFT calculation (SCAN) of ZnIr2Br at its PBEsol-relaxed geometry. Values from VASP.

The structure in Quantum ESPRESSO input format:
```
&SYSTEM
  ibrav = 0, nat = 4, ntyp = 3
/
ATOMIC_SPECIES
Br 79.90 Br.upf
Ir 192.22 Ir.upf
Zn 65.41 Zn.upf
CELL_PARAMETERS angstrom
-0.7487 1.7945 -2.1165
-1.7428 -2.0100 -1.0876
-5.9027 2.7339 4.4060
ATOMIC_POSITIONS angstrom
Br -5.8131 2.0077 1.8071
Ir -0.1386 0.0642 0.1034
Ir -2.7000 0.5658 -0.5166
Zn -2.6938 1.2477 2.0108
```

Output
Its energy above the most stable polymorph in this dataset is 0.0 kJ/mol of formula units. For the electronic total energy, the calculation gives -43.260 eV per atom.

Entry 13:
The following is a DFT calculation (SCAN) of ZnIr2Br at its PBEsol-relaxed geometry. Values from VASP.

The structure in Quantum ESPRESSO input format:
```
&SYSTEM
  ibrav = 0, nat = 4, ntyp = 3
/
ATOMIC_SPECIES
Br 79.90 Br.upf
Ir 192.22 Ir.upf
Zn 65.41 Zn.upf
CELL_PARAMETERS angstrom
-0.3608 1.7311 4.0894
-3.6313 -0.8119 2.4503
0.2695 -2.6490 3.5722
ATOMIC_POSITIONS angstrom
Br -1.8613 -0.8649 5.0559
Ir 0.0000 0.0000 0.0000
Ir -0.9307 -0.4324 2.5280
Zn -2.7920 -1.2973 7.5839
```

Output
Its energy above the most stable polymorph in this dataset is 193.2 kJ/mol of formula units. For the electronic total energy, the calculation gives -42.760 eV per atom.

Entry 14:
The following is a DFT calculation (SCAN) of ZnIr2Br at its PBEsol-relaxed geometry. Values from VASP.

The structure in Quantum ESPRESSO input format:
```
&SYSTEM
  ibrav = 0, nat = 4, ntyp = 3
/
ATOMIC_SPECIES
Br 79.90 Br.upf
Ir 192.22 Ir.upf
Zn 65.41 Zn.upf
CELL_PARAMETERS angstrom
-1.9146 -3.4169 -1.2199
4.3313 0.5501 -1.4410
2.8555 -2.2701 1.8768
ATOMIC_POSITIONS angstrom
Br 0.0000 0.0000 0.0000
Ir 2.4009 -1.1467 -0.5563
Ir 2.8713 -3.9902 -0.2278
Zn 0.4704 -2.8435 0.3285
```

Output
Its energy above the most stable polymorph in this dataset is 176.0 kJ/mol of formula units. For the electronic total energy, the calculation gives -42.804 eV per atom.

Entry 15:
The following is a DFT calculation (SCAN) of ZnIr2Br at its PBEsol-relaxed geometry. Values from VASP.

The structure in Quantum ESPRESSO input format:
```
&SYSTEM
  ibrav = 0, nat = 4, ntyp = 3
/
ATOMIC_SPECIES
Br 79.90 Br.upf
Ir 192.22 Ir.upf
Zn 65.41 Zn.upf
CELL_PARAMETERS angstrom
2.7438 0.0000 0.0000
-1.3719 2.4627 0.0000
0.0000 0.0000 9.7495
ATOMIC_POSITIONS angstrom
Br 1.3719 0.0000 7.5478
Ir 0.0000 0.0000 0.1548
Ir 1.3719 0.0000 2.3694
Zn 0.0000 0.0000 4.5523
```

Output
Its energy above the most stable polymorph in this dataset is 34.1 kJ/mol of formula units. For the electronic total energy, the calculation gives -43.172 eV per atom.

Entry 16:
The following is a DFT calculation (SCAN) of ZnIrBr2 at its PBEsol-relaxed geometry. Values from VASP.

The structure in Quantum ESPRESSO input format:
```
&SYSTEM
  ibrav = 0, nat = 4, ntyp = 3
/
ATOMIC_SPECIES
Br 79.90 Br.upf
Ir 192.22 Ir.upf
Zn 65.41 Zn.upf
CELL_PARAMETERS angstrom
3.3750 0.0000 0.0000
0.0000 3.3750 0.0000
0.0000 0.0000 7.2104
ATOMIC_POSITIONS angstrom
Br 0.0000 0.0000 6.6063
Br 1.6875 1.6875 2.3045
Ir 0.0000 0.0000 4.1021
Zn 1.6875 1.6875 5.0130
```

Output
Its energy above the most stable polymorph in this dataset is 0.0 kJ/mol of formula units. For the electronic total energy, the calculation gives -30.575 eV per atom.

We obtain mass density values of 8.898; 12.681; 8.845; 7.168; 9.268; 9.478; 13.272; 9.240; 8.223; 7.847; 14.200; 13.554; 14.067; 14.653; 13.353; 8.440 g/cm³ for the records listed above, in that order.
We obtain calculated volume values of 129.83; 72.44; 82.78; 102.15; 79.00; 77.25; 69.22; 79.24; 89.04; 88.34; 61.95; 64.90; 62.53; 60.03; 65.88; 82.13 Å³ per cell for the records listed above, in that order.